No. 1
CrFeSb2 PBE optimized geometry; energy relative to the lowest polymorph listed for this composition = 0.0572 eV per atom; crystal system = tetragonal; total DFT energy (no corrections) = -6.32 eV/atom; space group = No. 99; ΔE_f (raw) = 1.04 eV/f.u.
1.0
3.635 0.000 0.000
0.000 3.635 0.000
0.000 0.000 5.481
Cr Fe Sb
1 1 2
direct
0.000 0.000 0.000 Cr
0.500 0.500 0.326 Fe
0.000 0.000 0.482 Sb
0.500 0.500 0.846 Sb

***

No. 2
Cr2FeSb PBE optimized geometry; crystal system = trigonal; total DFT energy (no corrections) = -7.41 eV/atom; space group = No. 160; ΔE_f (raw) = 2.20 eV/f.u.
1.0
1.486 0.858 7.805
-1.486 0.858 7.805
0.000 -1.716 7.805
Cr Fe Sb
2 1 1
direct
0.000 0.000 0.000 Cr
0.264 0.264 0.264 Cr
0.521 0.521 0.521 Fe
0.762 0.762 0.762 Sb

***

No. 3
CrFeSb2 PBE optimized geometry; energy relative to the lowest polymorph listed for this composition = 0.2543 eV per atom; crystal system = trigonal; total DFT energy (no corrections) = -6.13 eV/atom; space group = No. 160; ΔE_f (raw) = 1.83 eV/f.u.
1.0
1.553 0.897 9.907
-1.553 0.897 9.907
0.000 -1.793 9.907
Cr Fe Sb
1 1 2
direct
0.000 0.000 0.000 Cr
0.725 0.725 0.725 Fe
0.263 0.263 0.263 Sb
0.460 0.460 0.460 Sb

***

No. 4
Cr2FeSb PBE optimized geometry; crystal system = tetragonal; total DFT energy (no corrections) = -7.67 eV/atom; space group = No. 119; ΔE_f (raw) = 1.15 eV/f.u.
1.0
-1.917 1.917 3.737
1.917 -1.917 3.737
1.917 1.917 -3.737
Cr Fe Sb
2 1 1
direct
0.000 0.000 0.000 Cr
0.750 0.250 0.500 Cr
0.500 0.500 0.000 Fe
0.250 0.750 0.500 Sb

***

No. 5
Cr2FeSb PBE optimized geometry; crystal system = cubic; total DFT energy (no corrections) = -7.73 eV/atom; space group = No. 216; ΔE_f (raw) = 0.90 eV/f.u.
1.0
0.000 3.019 3.019
3.019 0.000 3.019
3.019 3.019 0.000
Cr Fe Sb
2 1 1
direct
0.000 0.000 0.000 Cr
0.250 0.250 0.250 Cr
0.500 0.500 0.500 Fe
0.750 0.750 0.750 Sb

***

No. 6
ScCr2FeSb PBE optimized geometry; crystal system = tetragonal; total DFT energy (no corrections) = -7.07 eV/atom; space group = No. 123; ΔE_f (raw) = 2.83 eV/f.u.
1.0
4.465 0.000 0.000
0.000 4.465 0.000
0.000 0.000 4.829
Sc Cr Fe Sb
1 2 1 1
direct
0.000 0.000 0.000 Sc
0.000 0.500 0.500 Cr
0.500 0.000 0.500 Cr
0.500 0.500 0.500 Fe
0.500 0.500 0.000 Sb

***

No. 7
Cr2FeSbSe PBE optimized geometry; crystal system = tetragonal; total DFT energy (no corrections) = -5.57 eV/atom; space group = No. 123; ΔE_f (raw) = 7.45 eV/f.u.
1.0
5.067 0.000 0.000
0.000 5.067 0.000
0.000 0.000 5.515
Cr Fe Sb Se
2 1 1 1
direct
0.000 0.500 0.000 Cr
0.500 0.000 0.000 Cr
0.000 0.000 0.500 Fe
0.500 0.500 0.000 Sb
0.500 0.500 0.500 Se

***

No. 8
CrFeTcSb PBE optimized geometry; crystal system = cubic; total DFT energy (no corrections) = -8.01 eV/atom; space group = No. 216; ΔE_f (raw) = 0.54 eV/f.u.
1.0
0.000 3.061 3.061
3.061 0.000 3.061
3.061 3.061 0.000
Cr Fe Tc Sb
1 1 1 1
direct
0.000 0.000 0.000 Cr
0.750 0.750 0.750 Fe
0.250 0.250 0.250 Tc
0.500 0.500 0.500 Sb

***

No. 9
TiCrFeSb PBE optimized geometry; crystal system = cubic; total DFT energy (no corrections) = -7.62 eV/atom; space group = No. 216; ΔE_f (raw) = -0.39 eV/f.u.
1.0
0.000 3.050 3.050
3.050 0.000 3.050
3.050 3.050 0.000
Ti Cr Fe Sb
1 1 1 1
direct
0.000 0.000 0.000 Ti
0.750 0.750 0.750 Cr
0.250 0.250 0.250 Fe
0.500 0.500 0.500 Sb

***

No. 10
TiCrFeSb2 PBE optimized geometry; crystal system = tetragonal; total DFT energy (no corrections) = -5.85 eV/atom; space group = No. 123; ΔE_f (raw) = 4.96 eV/f.u.
1.0
4.951 0.000 0.000
0.000 4.951 0.000
0.000 0.000 4.226
Ti Cr Fe Sb
1 1 1 2
direct
0.000 0.000 0.000 Ti
0.000 0.000 0.500 Cr
0.500 0.500 0.000 Fe
0.000 0.500 0.500 Sb
0.500 0.000 0.500 Sb

***

No. 11
ScCrFe2 PBE optimized geometry; energy relative to the lowest polymorph listed for this composition = 0.0812 eV per atom; ΔH_f (0 K) = 0.133 eV/atom; crystal system = cubic; total DFT energy (no corrections) = -8.09 eV/atom; space group = No. 225
1.0
0.000 2.952 2.952
2.952 0.000 2.952
2.952 2.952 0.000
Sc Cr Fe
1 1 2
direct
0.000 0.000 0.000 Sc
0.500 0.500 0.500 Cr
0.250 0.250 0.250 Fe
0.750 0.750 0.750 Fe

***

No. 12
ScCr2Fe2 PBE optimized geometry; energy relative to the lowest polymorph listed for this composition = 0.1582 eV per atom; ΔH_f (0 K) = 0.194 eV/atom; crystal system = tetragonal; total DFT energy (no corrections) = -8.31 eV/atom; space group = No. 127
1.0
7.021 0.000 0.000
0.000 7.021 0.000
0.000 0.000 2.593
Sc Cr Fe
2 4 4
direct
0.000 0.000 0.000 Sc
0.500 0.500 0.000 Sc
0.147 0.353 0.000 Cr
0.353 0.853 0.000 Cr
0.647 0.147 0.000 Cr
0.853 0.647 0.000 Cr
0.142 0.642 0.500 Fe
0.358 0.142 0.500 Fe
0.642 0.858 0.500 Fe
0.858 0.358 0.500 Fe

***

No. 13
ScCrFe3 PBE optimized geometry; energy relative to the lowest polymorph listed for this composition = 0.0000 eV per atom; ΔH_f (0 K) = 0.638 eV/atom; crystal system = cubic; total DFT energy (no corrections) = -7.63 eV/atom; space group = No. 221
1.0
4.201 0.000 0.000
0.000 4.201 0.000
0.000 0.000 4.201
Sc Cr Fe
1 1 3
direct
0.000 0.000 0.000 Sc
0.500 0.500 0.500 Cr
0.000 0.500 0.500 Fe
0.500 0.000 0.500 Fe
0.500 0.500 0.000 Fe

***

No. 14
ScCrFe2 PBE optimized geometry; energy relative to the lowest polymorph listed for this composition = 0.1470 eV per atom; ΔH_f (0 K) = 0.199 eV/atom; crystal system = monoclinic; total DFT energy (no corrections) = -8.02 eV/atom; space group = No. 10
1.0
2.712 0.000 0.000
0.000 3.719 0.000
-1.256 0.000 5.380
Sc Cr Fe
1 1 2
direct
0.000 0.000 0.000 Sc
0.000 0.000 0.500 Cr
0.430 0.500 0.706 Fe
0.570 0.500 0.294 Fe

***

No. 15
ScCrFe2 PBE optimized geometry; energy relative to the lowest polymorph listed for this composition = 0.1712 eV per atom; ΔH_f (0 K) = 0.223 eV/atom; crystal system = orthorhombic; total DFT energy (no corrections) = -8.00 eV/atom; space group = No. 47
1.0
3.103 0.000 0.000
0.000 4.092 0.000
0.000 0.000 4.301
Sc Cr Fe
1 1 2
direct
0.000 0.000 0.000 Sc
0.500 0.000 0.500 Cr
0.000 0.500 0.500 Fe
0.500 0.500 0.000 Fe

***

No. 16
ScCr4Fe PBE optimized geometry; ΔH_f (0 K) = 0.203 eV/atom; crystal system = cubic; total DFT energy (no corrections) = -8.68 eV/atom; space group = No. 216
1.0
0.000 3.423 3.423
3.423 0.000 3.423
3.423 3.423 0.000
Sc Cr Fe
1 4 1
direct
0.000 0.000 0.000 Sc
0.124 0.625 0.625 Cr
0.625 0.124 0.625 Cr
0.625 0.625 0.124 Cr
0.625 0.625 0.625 Cr
0.250 0.250 0.250 Fe

***

No. 17
Sc3CrFe8 PBE optimized geometry; ΔH_f (0 K) = -0.120 eV/atom; crystal system = trigonal; total DFT energy (no corrections) = -8.15 eV/atom; space group = No. 160
1.0
2.426 1.401 7.919
-2.426 1.401 7.919
0.000 -2.801 7.919
Sc Cr Fe
3 1 8
direct
0.000 0.000 0.000 Sc
0.128 0.128 0.128 Sc
0.622 0.622 0.622 Sc
0.500 0.500 0.500 Cr
0.061 0.061 0.561 Fe
0.061 0.561 0.061 Fe
0.066 0.563 0.563 Fe
0.312 0.312 0.312 Fe
0.561 0.061 0.061 Fe
0.563 0.066 0.563 Fe
0.563 0.563 0.066 Fe
0.813 0.813 0.813 Fe

***

No. 18
ScCrFe2 PBE optimized geometry; energy relative to the lowest polymorph listed for this composition = 0.1648 eV per atom; ΔH_f (0 K) = 0.217 eV/atom; crystal system = monoclinic; total DFT energy (no corrections) = -8.00 eV/atom; space group = No. 6
1.0
2.718 0.000 0.000
0.000 4.164 0.000
-0.964 0.000 4.799
Sc Cr Fe
1 1 2
direct
0.000 0.000 0.000 Sc
0.749 0.500 0.311 Cr
0.301 0.500 0.759 Fe
0.487 0.000 0.500 Fe

***

No. 19
Sc2CrFe2 PBE optimized geometry; ΔH_f (0 K) = 0.010 eV/atom; crystal system = tetragonal; total DFT energy (no corrections) = -7.83 eV/atom; space group = No. 127
1.0
5.979 0.000 0.000
0.000 5.979 0.000
0.000 0.000 4.320
Sc Cr Fe
4 2 4
direct
0.181 0.319 0.000 Sc
0.319 0.819 0.000 Sc
0.681 0.181 0.000 Sc
0.819 0.681 0.000 Sc
0.000 0.000 0.500 Cr
0.500 0.500 0.500 Cr
0.130 0.630 0.500 Fe
0.370 0.130 0.500 Fe
0.630 0.870 0.500 Fe
0.870 0.370 0.500 Fe

***

No. 20
ScCrFe2 PBE optimized geometry; energy relative to the lowest polymorph listed for this composition = 0.1185 eV per atom; ΔH_f (0 K) = 0.170 eV/atom; crystal system = orthorhombic; total DFT energy (no corrections) = -8.05 eV/atom; space group = No. 44
1.0
-1.495 2.107 4.308
1.495 -2.107 4.308
1.495 2.107 -4.308
Sc Cr Fe
1 1 2
direct
0.000 0.000 0.000 Sc
0.269 0.769 0.500 Cr
0.495 0.495 0.000 Fe
0.733 0.233 0.500 Fe

***

No. 21
ScCrFe2 PBE optimized geometry; energy relative to the lowest polymorph listed for this composition = 0.0000 eV per atom; ΔH_f (0 K) = 0.052 eV/atom; crystal system = tetragonal; total DFT energy (no corrections) = -8.17 eV/atom; space group = No. 123
1.0
2.860 0.000 0.000
0.000 2.860 0.000
0.000 0.000 6.388
Sc Cr Fe
1 1 2
direct
0.000 0.000 0.000 Sc
0.000 0.000 0.500 Cr
0.500 0.500 0.292 Fe
0.500 0.500 0.708 Fe

***

No. 22
ScCrFe2 PBE optimized geometry; energy relative to the lowest polymorph listed for this composition = 0.2274 eV per atom; ΔH_f (0 K) = 0.279 eV/atom; crystal system = orthorhombic; total DFT energy (no corrections) = -7.94 eV/atom; space group = No. 35
1.0
1.573 -2.110 0.000
1.573 2.110 0.000
0.000 0.000 8.155
Sc Cr Fe
1 1 2
direct
0.000 0.000 0.000 Sc
0.500 0.500 0.720 Cr
0.000 0.000 0.497 Fe
0.500 0.500 0.272 Fe

***

No. 23
ScCrFe2 PBE optimized geometry; energy relative to the lowest polymorph listed for this composition = 0.0938 eV per atom; ΔH_f (0 K) = 0.146 eV/atom; crystal system = tetragonal; total DFT energy (no corrections) = -8.07 eV/atom; space group = No. 123
1.0
4.209 0.000 0.000
0.000 4.209 0.000
0.000 0.000 2.932
Sc Cr Fe
1 1 2
direct
0.000 0.000 0.000 Sc
0.500 0.500 0.000 Cr
0.000 0.500 0.500 Fe
0.500 0.000 0.500 Fe

***

No. 24
ScCrFe2 PBE optimized geometry; energy relative to the lowest polymorph listed for this composition = 0.0878 eV per atom; ΔH_f (0 K) = 0.140 eV/atom; crystal system = tetragonal; total DFT energy (no corrections) = -8.08 eV/atom; space group = No. 99
1.0
2.973 0.000 0.000
0.000 2.973 0.000
0.000 0.000 6.282
Sc Cr Fe
1 1 2
direct
0.000 0.000 0.000 Sc
0.500 0.500 0.303 Cr
0.000 0.000 0.499 Fe
0.500 0.500 0.713 Fe

***

No. 25
ScCrFe2 PBE optimized geometry; energy relative to the lowest polymorph listed for this composition = 0.3345 eV per atom; ΔH_f (0 K) = 0.386 eV/atom; crystal system = trigonal; total DFT energy (no corrections) = -7.83 eV/atom; space group = No. 160
1.0
1.388 0.801 8.388
-1.388 0.801 8.388
0.000 -1.603 8.388
Sc Cr Fe
1 1 2
direct
0.000 0.000 0.000 Sc
0.759 0.759 0.759 Cr
0.242 0.242 0.242 Fe
0.498 0.498 0.498 Fe

***

No. 26
ScCrFe2 PBE optimized geometry; energy relative to the lowest polymorph listed for this composition = 0.3832 eV per atom; ΔH_f (0 K) = 0.435 eV/atom; crystal system = tetragonal; total DFT energy (no corrections) = -7.78 eV/atom; space group = No. 122
1.0
-3.316 3.316 2.609
3.316 -3.316 2.609
3.316 3.316 -2.609
Sc Cr Fe
2 2 4
direct
0.000 0.000 0.000 Sc
0.750 0.250 0.500 Sc
0.250 0.750 0.500 Cr
0.500 0.500 0.000 Cr
0.176 0.625 0.051 Fe
0.375 0.426 0.551 Fe
0.574 0.125 0.949 Fe
0.875 0.824 0.449 Fe

***

No. 27
Sc4CrFe PBE optimized geometry; ΔH_f (0 K) = 0.748 eV/atom; crystal system = cubic; total DFT energy (no corrections) = -6.49 eV/atom; space group = No. 216
1.0
0.000 4.001 4.001
4.001 0.000 4.001
4.001 4.001 0.000
Sc Cr Fe
4 1 1
direct
0.125 0.125 0.125 Sc
0.125 0.125 0.624 Sc
0.125 0.624 0.125 Sc
0.624 0.125 0.125 Sc
0.750 0.750 0.750 Cr
0.500 0.500 0.500 Fe

***

No. 28
ScCr3Fe PBE optimized geometry; ΔH_f (0 K) = 0.764 eV/atom; crystal system = cubic; total DFT energy (no corrections) = -7.97 eV/atom; space group = No. 221
1.0
4.284 0.000 0.000
0.000 4.284 0.000
0.000 0.000 4.284
Sc Cr Fe
1 3 1
direct
0.000 0.000 0.000 Sc
0.000 0.500 0.500 Cr
0.500 0.000 0.500 Cr
0.500 0.500 0.000 Cr
0.500 0.500 0.500 Fe

***

No. 29
ScCrFe2 PBE optimized geometry; energy relative to the lowest polymorph listed for this composition = 0.3221 eV per atom; ΔH_f (0 K) = 0.374 eV/atom; crystal system = trigonal; total DFT energy (no corrections) = -7.85 eV/atom; space group = No. 166
1.0
1.424 0.822 7.896
-1.424 0.822 7.896
0.000 -1.644 7.896
Sc Cr Fe
1 1 2
direct
0.000 0.000 0.000 Sc
0.500 0.500 0.500 Cr
0.240 0.240 0.240 Fe
0.760 0.760 0.760 Fe